No. 1
# AlNiRu | the Alexandria database | PBE-GGA | relaxed
# VASP energy: -6.641 eV/atom
# Formation energy from the elements: -1.1 eV/f.u.
data_AlNiRu
_chemical_formula_sum 'Al2 Ni2 Ru2'
_space_group_name_H-M_alt 'P 1 m 1'
_space_group_IT_number 6
_space_group_name_Hall 'P -2y'
_cell_length_a 4.365
_cell_length_b 2.778
_cell_length_c 6.428
_cell_angle_alpha 90.00
_cell_angle_beta 98.37
_cell_angle_gamma 90.00
loop_
_atom_site_label
_atom_site_fract_x
_atom_site_fract_y
_atom_site_fract_z
_atom_site_occupancy
Al1 0.000 0.000 0.000 1
Al2 0.437 0.000 0.650 1
Ni1 0.226 0.500 0.317 1
Ni2 0.483 0.500 0.977 1
Ru1 0.718 0.000 0.319 1
Ru2 0.945 0.500 0.658 1

***

No. 2
# Li2H2Au | the Alexandria database | PBE-GGA | relaxed
# VASP energy: -2.991 eV/atom
data_Li2H2Au
_chemical_formula_sum 'Li8 H8 Au4'
_space_group_name_H-M_alt 'C m c 21'
_space_group_IT_number 36
_space_group_name_Hall 'C 2c -2'
_cell_length_a 2.698
_cell_length_b 14.716
_cell_length_c 5.268
_cell_angle_alpha 90.00
_cell_angle_beta 90.00
_cell_angle_gamma 90.00
loop_
_atom_site_label
_atom_site_fract_x
_atom_site_fract_y
_atom_site_fract_z
_atom_site_occupancy
Li1 0.000 0.002 0.000 1
Li2 0.000 0.157 0.769 1
H1 0.000 0.229 0.408 1
H2 0.000 0.443 0.240 1
Au1 0.000 0.345 0.758 1

***

No. 3
# Pr3Y2Pb4 | the Alexandria database | PBE-GGA | relaxed
# VASP energy: -5.171 eV/atom
# Formation energy from the elements: -4.4 eV/f.u.
data_Pr3Y2Pb4
_chemical_formula_sum 'Pr6 Y4 Pb8'
_space_group_name_H-M_alt 'C 1 2/m 1'
_space_group_IT_number 12
_space_group_name_Hall '-C 2y'
_cell_length_a 16.658
_cell_length_b 5.158
_cell_length_c 6.959
_cell_angle_alpha 90.00
_cell_angle_beta 105.07
_cell_angle_gamma 90.00
loop_
_atom_site_label
_atom_site_fract_x
_atom_site_fract_y
_atom_site_fract_z
_atom_site_occupancy
Pr1 0.000 0.000 0.000 1
Pr2 0.119 0.000 0.579 1
Y1 0.166 0.500 0.076 1
Pb1 0.006 0.500 0.284 1
Pb2 0.244 0.000 0.278 1

***

No. 4
# CaPm3Sb3 | the Alexandria database | PBE-GGA | relaxed
# Raw formation energy: -0.9466 eV per atom
# VASP energy: -5.035 eV/atom
# Distance to the lowest polymorph of the same formula: 90.6 meV per atom
data_CaPm3Sb3
_chemical_formula_sum 'Ca6 Pm18 Sb18'
_space_group_name_H-M_alt 'R -3'
_space_group_IT_number 148
_space_group_name_Hall '-R 3'
_cell_length_a 9.2675
_cell_length_b 9.2675
_cell_length_c 18.8736
_cell_angle_alpha 90.00
_cell_angle_beta 90.00
_cell_angle_gamma 120.00
loop_
_atom_site_label
_atom_site_fract_x
_atom_site_fract_y
_atom_site_fract_z
_atom_site_occupancy
Ca1 0.0000 0.0000 0.1673 1
Pm1 0.0057 0.2730 0.5867 1
Sb1 0.0069 0.3833 0.4198 1

***

No. 5
# Zr2SiIr | the Alexandria database | PBE-GGA | relaxed
# Raw formation energy: -0.6308 eV per atom
# VASP energy: -8.476 eV/atom
data_Zr2SiIr
_chemical_formula_sum 'Zr2 Si1 Ir1'
_space_group_name_H-M_alt 'P m m m'
_space_group_IT_number 47
_space_group_name_Hall '-P 2 2'
_cell_length_a 3.889
_cell_length_b 4.167
_cell_length_c 4.387
_cell_angle_alpha 90.00
_cell_angle_beta 90.00
_cell_angle_gamma 90.00
loop_
_atom_site_label
_atom_site_fract_x
_atom_site_fract_y
_atom_site_fract_z
_atom_site_occupancy
Zr1 0.000 0.000 0.000 1
Zr2 0.000 0.500 0.500 1
Si1 0.500 0.000 0.500 1
Ir1 0.500 0.500 0.000 1

***

No. 6
# PmPrSm | the Alexandria database | PBE-GGA | relaxed
# VASP energy: -4.738 eV/atom
# Formation energy from the elements: 0.0 eV/f.u.
# Distance to the lowest polymorph of the same formula: 0.0 meV per atom
data_PmPrSm
_chemical_formula_sum 'Pm1 Pr1 Sm1'
_space_group_name_H-M_alt 'P 3 m 1'
_space_group_IT_number 156
_space_group_name_Hall 'P 3 -2"'
_cell_length_a 3.6647
_cell_length_b 3.6647
_cell_length_c 8.9638
_cell_angle_alpha 90.00
_cell_angle_beta 90.00
_cell_angle_gamma 120.00
loop_
_atom_site_label
_atom_site_fract_x
_atom_site_fract_y
_atom_site_fract_z
_atom_site_occupancy
Pm1 0.0000 0.0000 0.0000 1
Pr1 0.6667 0.3333 0.3369 1
Sm1 0.3333 0.6667 0.6713 1

***

No. 7
# NbFeSbS2 | the Alexandria database | PBE-GGA | relaxed
# Raw formation energy: 1.4068 eV per atom
# VASP energy: -4.775 eV/atom
data_NbFeSbS2
_chemical_formula_sum 'Nb1 Fe1 Sb1 S2'
_space_group_name_H-M_alt 'P 4/m m m'
_space_group_IT_number 123
_space_group_name_Hall '-P 4 2'
_cell_length_a 4.924
_cell_length_b 4.924
_cell_length_c 4.631
_cell_angle_alpha 90.00
_cell_angle_beta 90.00
_cell_angle_gamma 90.00
loop_
_atom_site_label
_atom_site_fract_x
_atom_site_fract_y
_atom_site_fract_z
_atom_site_occupancy
Nb1 0.000 0.000 0.000 1
Fe1 0.500 0.500 0.000 1
Sb1 0.500 0.500 0.500 1
S1 0.000 0.500 0.500 1

***

No. 8
# Sm3TmRh4 | the Alexandria database | PBE-GGA | relaxed
# VASP energy: -6.771 eV/atom
# Formation energy from the elements: -6.1 eV/f.u.
data_Sm3TmRh4
_chemical_formula_sum 'Sm3 Tm1 Rh4'
_space_group_name_H-M_alt 'P 4/m m m'
_space_group_IT_number 123
_space_group_name_Hall '-P 4 2'
_cell_length_a 3.418
_cell_length_b 3.418
_cell_length_c 14.315
_cell_angle_alpha 90.00
_cell_angle_beta 90.00
_cell_angle_gamma 90.00
loop_
_atom_site_label
_atom_site_fract_x
_atom_site_fract_y
_atom_site_fract_z
_atom_site_occupancy
Sm1 0.000 0.000 0.000 1
Sm2 0.000 0.000 0.254 1
Tm1 0.000 0.000 0.500 1
Rh1 0.500 0.500 0.127 1
Rh2 0.500 0.500 0.383 1

***

No. 9
# LiInSbRh | the Alexandria database | PBE-GGA | relaxed
# Raw formation energy: -0.3537 eV per atom
# VASP energy: -4.385 eV/atom
data_LiInSbRh
_chemical_formula_sum 'Li4 In4 Sb4 Rh4'
_space_group_name_H-M_alt 'F -4 3 m'
_space_group_IT_number 216
_space_group_name_Hall 'F -4 2 3'
_cell_length_a 6.606
_cell_length_b 6.606
_cell_length_c 6.606
_cell_angle_alpha 90.00
_cell_angle_beta 90.00
_cell_angle_gamma 90.00
loop_
_atom_site_label
_atom_site_fract_x
_atom_site_fract_y
_atom_site_fract_z
_atom_site_occupancy
Li1 0.000 0.000 0.000 1
In1 0.250 0.250 0.250 1
Sb1 0.250 0.250 0.750 1
Rh1 0.000 0.000 0.500 1

***

No. 10
# YNi2Mo | the Alexandria database | PBE-GGA | relaxed
# VASP energy: -6.782 eV/atom
# Formation energy from the elements: 1.7 eV/f.u.
# Distance to the lowest polymorph of the same formula: 527.7 meV per atom
data_YNi2Mo
_chemical_formula_sum 'Y3 Ni6 Mo3'
_space_group_name_H-M_alt 'R -3 m'
_space_group_IT_number 166
_space_group_name_Hall '-R 3 2"'
_cell_length_a 2.9848
_cell_length_b 2.9848
_cell_length_c 25.5771
_cell_angle_alpha 90.00
_cell_angle_beta 90.00
_cell_angle_gamma 120.00
loop_
_atom_site_label
_atom_site_fract_x
_atom_site_fract_y
_atom_site_fract_z
_atom_site_occupancy
Y1 0.0000 0.0000 0.0000 1
Ni1 0.0000 0.0000 0.2411 1
Mo1 0.0000 0.0000 0.5000 1

***

No. 11
# BaNb2Cd | the Alexandria database | PBE-GGA | relaxed
# VASP energy: -4.810 eV/atom
# Formation energy from the elements: 3.7 eV/f.u.
data_BaNb2Cd
_chemical_formula_sum 'Ba4 Nb8 Cd4'
_space_group_name_H-M_alt 'I -4 2 d'
_space_group_IT_number 122
_space_group_name_Hall 'I -4 2bw'
_cell_length_a 4.732
_cell_length_b 4.732
_cell_length_c 21.712
_cell_angle_alpha 90.00
_cell_angle_beta 90.00
_cell_angle_gamma 90.00
loop_
_atom_site_label
_atom_site_fract_x
_atom_site_fract_y
_atom_site_fract_z
_atom_site_occupancy
Ba1 0.000 0.000 0.000 1
Nb1 0.081 0.250 0.625 1
Cd1 0.000 0.000 0.500 1

***

No. 12
# Ba2AlBiSb | the Alexandria database | PBE-GGA | relaxed
# Raw formation energy: -0.7025 eV per atom
# VASP energy: -3.821 eV/atom
data_Ba2AlBiSb
_chemical_formula_sum 'Ba4 Al2 Bi2 Sb2'
_space_group_name_H-M_alt 'P 1 21/m 1'
_space_group_IT_number 11
_space_group_name_Hall '-P 2yb'
_cell_length_a 8.415
_cell_length_b 4.922
_cell_length_c 9.420
_cell_angle_alpha 90.00
_cell_angle_beta 90.04
_cell_angle_gamma 90.00
loop_
_atom_site_label
_atom_site_fract_x
_atom_site_fract_y
_atom_site_fract_z
_atom_site_occupancy
Ba1 0.234 0.250 0.496 1
Ba2 0.235 0.250 0.001 1
Al1 0.412 0.750 0.243 1
Bi1 0.420 0.750 0.748 1
Sb1 0.097 0.750 0.250 1